{"formula": "SrMnAs", "functional": "PBE", "state": "optimized geometry", "lattice_angstrom": [[4.353, 0.000, 0.000], [-2.177, 3.770, 0.000], [0.000, 0.000, 4.567]], "species": ["Sr", "Mn", "As"], "fractional_positions": [[0.000, 0.000, 0.000], [0.333, 0.667, 0.500], [0.667, 0.333, 0.500]], "dos_at_fermi_per_ev_cell": 1.7, "density_g_cm3": 4.82, "magnetic_moment_mub_per_fu": 3.9, "total_energy_ev_per_cell": -17.0}